Version w
Compound: Sc2BS
Source: the Alexandria database
Functional: PBE
Structure: optimized geometry

Geometry as extended XYZ:
```
4
Lattice="1.7479 -3.9124 -1.1369 -2.2305 -3.7443 0.8122 -1.7420 -2.3149 -3.3558" Properties=species:S:1:pos:R:3 pbc="T T T"
Sc -0.5561 -2.4929 -0.9201
Sc -1.6684 -7.4787 -2.7604
S -1.1123 -4.9858 -1.8403
B 0.0000 0.0000 0.0000
```

Values from the calculation:
SG: Fm-3m, No. 225



Version x
Compound: Sc2BS
Source: the Alexandria database
Functional: PBE
Structure: optimized geometry

Geometry as extended XYZ:
```
8
Lattice="6.4731 0.0000 0.0000 0.0000 6.4731 0.0000 3.2365 3.2365 3.3373" Properties=species:S:1:pos:R:3 pbc="T T T"
Sc 4.6711 1.6183 0.8343
Sc 1.8020 4.8548 0.8343
Sc 4.8548 5.0385 2.5030
Sc 8.0914 7.9077 2.5030
S 0.0000 0.0000 0.0000
S 6.4731 3.2365 1.6687
B 3.2365 3.2365 0.0000
B 3.2365 6.4731 1.6687
```

Values from the calculation:
SG: I-42d, No. 122



Version y
Compound: Sc2BS
Source: the Alexandria database
Functional: PBE
Structure: optimized geometry

Geometry as extended XYZ:
```
4
Lattice="2.0879 0.0000 7.3861 -1.0440 1.8082 7.3861 -1.0440 -1.8082 7.3861" Properties=species:S:1:pos:R:3 pbc="T T T"
Sc 0.0000 0.0000 19.7711
Sc 0.0000 0.0000 2.3871
S 0.0000 0.0000 0.0000
B 0.0000 0.0000 11.0791
```

Values from the calculation:
SG: R-3m, No. 166



Among the structures above, stability is greatest for version x.